Computed, not measured: a relaxed structure of SrFeOF2 at the PBE+U level of DFT.

Output
The energy above the lowest structure with this stoichiometry is 0.0978 eV per atom. The total energy comes out at -5.83 eV per atom. The calculated volume comes out at 70 Å³/cell. Its size of the total moment is 4.000 μB per formula unit.

Cell: 4.1661 4.1661 4.0232 Å, 90.00 90.00 90.00°
Atoms (fractional coordinates):
Sr  0.0000  0.0000  0.0000
Fe  0.5000  0.5000  0.5000
O  0.5000  0.5000  0.0000
F  0.0000  0.5000  0.5000
F  0.5000  0.0000  0.5000



Computed, not measured: a relaxed structure of SrFeO2F at the PBE+U level of DFT.

Output
The total energy comes out at -5.98 eV per atom. The calculated volume comes out at 150 Å³/cell. Its size of the total moment is 4.999 μB per formula unit.

Cell: 6.4892 6.4892 6.6522 Å, 90.00 90.00 147.54°
Atoms (fractional coordinates):
Sr  0.2144  0.7856  0.7500
Sr  0.7856  0.2144  0.2500
Fe  0.5000  0.5000  0.0000
Fe  0.5000  0.5000  0.5000
O  0.3562  0.6438  0.0171
O  0.3562  0.6438  0.4829
O  0.6438  0.3562  0.5171
O  0.6438  0.3562  0.9829
F  0.0003  0.9997  0.2500
F  0.9997  0.0003  0.7500



Computed, not measured: a relaxed structure of SrFeO2F at the PBE+U level of DFT.

Output
The total energy comes out at -6.19 eV per atom. The calculated volume comes out at 128 Å³/cell. Its size of the total moment is 5.000 μB per formula unit.

Cell: 5.6165 5.6165 5.7344 Å, 120.47 120.47 87.96°
Atoms (fractional coordinates):
Sr  0.2396  0.2396  0.0007
Sr  0.7604  0.7604  0.9993
Fe  0.0000  0.5000  0.5000
Fe  0.5000  0.0000  0.5000
O  0.1972  0.1972  0.3954
O  0.2507  0.7493  0.5000
O  0.7493  0.2507  0.5000
O  0.8028  0.8028  0.6046
F  0.3072  0.6928  0.0000
F  0.6928  0.3072  0.0000



Computed, not measured: a relaxed structure of SrFeO2F at the PBE+U level of DFT.

Output
The total energy comes out at -4.54 eV per atom. The calculated volume comes out at 95 Å³/cell. Its size of the total moment is 2.539 μB per formula unit.

Cell: 4.5839 4.5839 4.5254 Å, 90.00 90.00 90.00°
Atoms (fractional coordinates):
Sr  0.0000  0.0000  0.0000
Fe  0.5000  0.5000  0.5000
O  0.0000  0.5000  0.0000
O  0.5000  0.0000  0.0000
F  0.0000  0.0000  0.5000



Computed, not measured: a relaxed structure of SrFeOF2 at the PBE+U level of DFT.

Output
The energy above the lowest structure with this stoichiometry is 0.0000 eV per atom. The total energy comes out at -5.93 eV per atom. The calculated volume comes out at 139 Å³/cell. Its size of the total moment is 4.000 μB per formula unit.

Cell: 5.8001 5.8001 5.8001 Å, 119.27 119.27 91.28°
Atoms (fractional coordinates):
Sr  0.2500  0.7500  0.5000
Sr  0.7500  0.2500  0.5000
Fe  0.0000  0.0000  0.0000
Fe  0.5000  0.5000  0.0000
O  0.2500  0.2500  0.0000
O  0.7500  0.7500  0.0000
F  0.1703  0.6703  0.8405
F  0.3297  0.1703  0.5000
F  0.6703  0.8297  0.5000
F  0.8297  0.3297  0.1595



Computed, not measured: a relaxed structure of TaFeO2F at the PBE+U level of DFT.

Output
The total energy comes out at -6.28 eV per atom. The calculated volume comes out at 54 Å³/cell. Its size of the total moment is 1.769 μB per formula unit.

Cell: 3.8679 3.8679 3.6282 Å, 90.00 90.00 90.00°
Atoms (fractional coordinates):
Ta  0.0000  0.0000  0.0000
Fe  0.5000  0.5000  0.5000
O  0.0000  0.5000  0.5000
O  0.5000  0.0000  0.5000
F  0.5000  0.5000  0.0000



Computed, not measured: a relaxed structure of TaFeOF2 at the PBE+U level of DFT.

Output
The energy above the lowest structure with this stoichiometry is 0.9867 eV per atom. The total energy comes out at -5.61 eV per atom. The calculated volume comes out at 60 Å³/cell. Its size of the total moment is 2.952 μB per formula unit.

Cell: 3.8003 3.8003 4.1717 Å, 90.00 90.00 90.00°
Atoms (fractional coordinates):
Ta  0.0000  0.0000  0.0000
Fe  0.5000  0.5000  0.5000
O  0.5000  0.5000  0.0000
F  0.0000  0.5000  0.5000
F  0.5000  0.0000  0.5000



Computed, not measured: a relaxed structure of TaFeO2F at the PBE+U level of DFT.

Output
The total energy comes out at -7.48 eV per atom. The calculated volume comes out at 66 Å³/cell. Its size of the total moment is 2.772 μB per formula unit.

Cell: 3.9931 3.9931 4.1391 Å, 90.00 90.00 90.00°
Atoms (fractional coordinates):
Ta  0.0000  0.0000  0.0000
Fe  0.5000  0.5000  0.5000
O  0.0000  0.5000  0.0000
O  0.5000  0.0000  0.0000
F  0.0000  0.0000  0.5000



Computed, not measured: a relaxed structure of TaFeOF2 at the PBE+U level of DFT.

Output
The energy above the lowest structure with this stoichiometry is 0.0000 eV per atom. The total energy comes out at -6.59 eV per atom. The calculated volume comes out at 71 Å³/cell. Its size of the total moment is 3.299 μB per formula unit.

Cell: 4.2382 4.2382 3.9453 Å, 90.00 90.00 90.00°
Atoms (fractional coordinates):
Ta  0.0000  0.0000  0.0000
Fe  0.5000  0.5000  0.5000
O  0.0000  0.0000  0.5000
F  0.0000  0.5000  0.0000
F  0.5000  0.0000  0.0000



Computed, not measured: a relaxed structure of Fe2TcOF at the PBE+U level of DFT.

Output
The total energy comes out at -5.21 eV per atom. The calculated volume comes out at 70 Å³/cell. Its size of the total moment is 10.404 μB per formula unit.

Cell: 3.8999 3.8999 4.6147 Å, 90.00 90.00 90.00°
Atoms (fractional coordinates):
Fe  0.0000  0.5000  0.0000
Fe  0.5000  0.0000  0.0000
Tc  0.0000  0.0000  0.5000
O  0.5000  0.5000  0.5000
F  0.5000  0.5000  0.0000



Computed, not measured: a relaxed structure of FeTeOF2 at the PBE+U level of DFT.

Output
The energy above the lowest structure with this stoichiometry is 0.0000 eV per atom. The total energy comes out at -4.53 eV per atom. The calculated volume comes out at 71 Å³/cell. Its size of the total moment is 4.791 μB per formula unit.

Cell: 3.8801 3.8801 4.7395 Å, 90.00 90.00 90.00°
Atoms (fractional coordinates):
Fe  0.0000  0.0000  0.0000
Te  0.5000  0.5000  0.5000
O  0.0000  0.0000  0.5000
F  0.0000  0.5000  0.0000
F  0.5000  0.0000  0.0000



Computed, not measured: a relaxed structure of FeTeOF2 at the PBE+U level of DFT.

Output
The energy above the lowest structure with this stoichiometry is 0.4032 eV per atom. The total energy comes out at -4.13 eV per atom. The calculated volume comes out at 92 Å³/cell. Its size of the total moment is 4.642 μB per formula unit.

Cell: 4.7404 4.7404 4.1088 Å, 90.00 90.00 90.00°
Atoms (fractional coordinates):
Fe  0.0000  0.0000  0.0000
Te  0.5000  0.5000  0.5000
O  0.5000  0.5000  0.0000
F  0.0000  0.5000  0.5000
F  0.5000  0.0000  0.5000